# PmNd8Sn6, optimized geometry, DFT GGA-PBE
# - Energy relative to the elements: -0.572 eV per atom
# - Energy: -5.033 eV per atom
# - Symmetry: R-3 (148)
data_PmNd8Sn6
_chemical_formula_sum 'Pm1 Nd8 Sn6'
_space_group_name_H-M_alt 'P 1'
_space_group_IT_number 1
_cell_length_a 8.5498
_cell_length_b 8.5498
_cell_length_c 8.5498
_cell_angle_alpha 66.47
_cell_angle_beta 66.47
_cell_angle_gamma 66.47
loop_
_space_group_symop_operation_xyz
'x,y,z'
loop_
_atom_site_label
_atom_site_fract_x
_atom_site_fract_y
_atom_site_fract_z
Pm1 0.0000 0.0000 0.0000
Nd1 0.1036 0.7699 0.4380
Nd2 0.2301 0.5620 0.8964
Nd3 0.3334 0.3334 0.3334
Nd4 0.4380 0.1036 0.7699
Nd5 0.5620 0.8964 0.2301
Nd6 0.6666 0.6666 0.6666
Nd7 0.7699 0.4380 0.1036
Nd8 0.8964 0.2301 0.5620
Sn1 0.0676 0.3996 0.7353
Sn2 0.2647 0.9324 0.6004
Sn3 0.3996 0.7353 0.0676
Sn4 0.6004 0.2647 0.9324
Sn5 0.7353 0.0676 0.3996
Sn6 0.9324 0.6004 0.2647